[1]
First-principles (PBE) data for a relaxed structure of PmTm2Zr, as listed in Alexandria.

DOS(E_F)	1.45	states/eV/atom
energy relative to the elements	0.07	eV per atom
excess energy over the best structure of this formula in the dataset	0.01	eV/f.u.
V	28.82	Å³ per atom

```
4
Lattice="-1.029 0.661 -3.210 2.253 -0.139 -2.589 -1.975 -10.754 -3.420" Properties=species:S:1:pos:R:3 pbc="T T T"
Pm 0.000 0.000 0.000
Tm -0.230 -2.750 -2.331
Tm -0.521 -7.481 -6.887
Zr -0.375 -5.116 -4.609
```

[2]
First-principles (PBE) data for a relaxed structure of PmTm3Zr, as listed in Alexandria.

DOS(E_F)	1.23	states/eV/atom
energy relative to the elements	0.07	eV per atom
excess energy over the best structure of this formula in the dataset	0.13	eV/f.u.
V	29.06	Å³ per atom

```
10
Lattice="7.653 -0.012 1.047 -4.605 7.254 -5.655 1.304 -2.478 7.136" Properties=species:S:1:pos:R:3 pbc="T T T"
Pm -0.201 1.870 1.508
Pm 4.554 2.893 1.021
Zr 0.798 -1.040 5.137
Zr 3.554 5.803 -2.608
Tm -1.279 4.799 -2.181
Tm 1.699 3.891 -0.639
Tm 2.653 0.872 3.168
Tm 0.750 6.752 -4.348
Tm 3.603 -1.989 6.876
Tm 5.631 -0.035 4.710
```

[3]
First-principles (PBE) data for a relaxed structure of PmTm2Zr, as listed in Alexandria.

DOS(E_F)	2.07	states/eV/atom
energy relative to the elements	0.16	eV per atom
excess energy over the best structure of this formula in the dataset	0.35	eV/f.u.
V	29.24	Å³ per atom

```
4
Lattice="-3.080 1.889 -1.657 0.971 -1.522 -3.541 -4.316 -5.864 1.338" Properties=species:S:1:pos:R:3 pbc="T T T"
Tm -1.208 -1.642 0.374
Tm -3.108 -4.222 0.963
Zr -3.212 -2.749 -1.930
Pm -1.054 0.183 -2.599
```

[4]
First-principles (PBE) data for a relaxed structure of PmUZn, as listed in Alexandria.

DOS(E_F)	1.73	states/eV/atom
energy relative to the elements	0.15	eV per atom
V	25.39	Å³ per atom

```
12
Lattice="3.631 0.000 0.000 0.000 6.158 0.000 0.000 0.000 13.629" Properties=species:S:1:pos:R:3 pbc="T T T"
Zn 0.908 2.549 7.693
Zn 0.908 0.529 0.878
Zn 2.723 3.608 5.936
Zn 2.723 5.628 12.751
Pm 2.723 1.101 9.759
Pm 0.908 5.056 3.870
Pm 0.908 4.180 10.685
Pm 2.723 1.977 2.945
U 2.723 0.569 6.176
U 2.723 2.510 12.990
U 0.908 3.647 0.639
U 0.908 5.589 7.453
```